Computed, not measured: a PBEsol-optimized structure of Ba3Sm2WO9 at the meta-GGA SCAN level of DFT.

Cell lengths 6.1195, 8.6750, 10.5805 Å; angles 114.20, 106.81, 90.00 degrees
Last column: nearest neighbours and their distance in Å.
Element x y z (fractional)
O 0.3317 0.6068 0.6634  1 W 1.95
Sm 0.3257 0.3257 0.6515  6 O 2.16-2.39
O 0.0000 0.2474 0.0000  2 Sm 2.15-2.19
O 0.8101 0.0885 0.1769  1 W 1.94
Ba 0.8392 0.1013 0.6785  12 O 2.85-3.15
Ba 0.8392 0.5771 0.6785  12 O 2.85-3.15
O 0.3317 0.0566 0.6634  1 W 1.95
Ba 0.5000 0.7412 0.0000  12 O 3.06-3.10
O 0.6332 0.9115 0.8231  1 W 1.94
Sm 0.6743 0.6743 0.3485  6 O 2.16-2.39
Sm 0.0000 0.0000 0.0000  6 O 2.15-2.35
O 0.1899 0.9115 0.8231  1 W 1.94
O 0.5103 0.2369 0.4739  1 W 1.92
O 0.0364 0.7631 0.5261  1 W 1.92
O 0.6683 0.9434 0.3366  1 W 1.95
Sm 0.0000 0.5000 0.0000  6 O 2.19-2.26
Ba 0.1608 0.8987 0.3215  12 O 2.85-3.15
W 0.6642 0.1642 0.3283  6 O 1.92-1.95
O 0.8448 0.5918 0.1835  2 Sm 2.16-2.26
Ba 0.5000 0.2588 0.0000  12 O 3.06-3.10
O 0.0000 0.7526 0.0000  2 Sm 2.15-2.19
W 0.3358 0.8358 0.6717  6 O 1.92-1.95
Ba 0.1608 0.4229 0.3215  12 O 2.85-3.15
O 0.9636 0.2369 0.4739  1 W 1.92
O 0.6613 0.4082 0.8165  2 Sm 2.16-2.26
O 0.3387 0.5918 0.1835  2 Sm 2.16-2.26
O 0.1552 0.4082 0.8165  2 Sm 2.16-2.26
O 0.3668 0.0885 0.1769  1 W 1.94
O 0.6683 0.3932 0.3366  1 W 1.95
O 0.4897 0.7631 0.5261  1 W 1.92

Results
**DOS(E_F)**: 0.000 states/eV per atom
**Formation energy from raw total energies**: -3.145 eV per atom
**Density**: 7.1 Mg/m³